{"formula": "LaY2Sc", "functional": "PBEsol", "state": "relaxed", "ef_ev_per_atom": 0.1056, "vol_a3_per_cell": 119.8, "magmom_total_mub_per_fu": 0.00, "polymorph_energy_mev_per_atom": 64, "n_ef_per_ev_fu": 6.49, "dft_energy_ev_per_cell": -25.173, "cell": [[0.000, 3.913, 3.913], [3.913, 0.000, 3.913], [3.913, 3.913, 0.000]], "species": ["La", "Y", "Y", "Sc"], "frac_coords": [[0.000, 0.000, 0.000], [0.500, 0.500, 0.500], [0.750, 0.750, 0.750], [0.250, 0.250, 0.250]]}



{"formula": "Sr2MgCu", "functional": "PBEsol", "state": "relaxed", "ef_ev_per_atom": 0.0267, "vol_a3_per_cell": 127.9, "magmom_total_mub_per_fu": 0.00, "n_ef_per_ev_fu": 2.41, "dft_energy_ev_per_cell": -9.625, "cell": [[4.504, 0.000, 0.000], [0.000, 2.354, 6.034], [0.000, -2.354, 6.034]], "species": ["Sr", "Sr", "Mg", "Cu"], "frac_coords": [[0.000, 0.000, 0.000], [0.500, 0.290, 0.290], [0.500, 0.591, 0.591], [0.000, 0.709, 0.709]]}



{"formula": "VP4O12", "functional": "PBEsol", "state": "relaxed", "vol_a3_per_cell": 841.1, "raw_formation_energy_ev_per_atom": -2.047, "magmom_total_mub_per_fu": 0.99, "polymorph_energy_mev_per_atom": 64, "n_ef_per_ev_fu": 4.45, "dft_energy_ev_per_cell": -522.356, "cell": [[8.895, 0.000, 0.000], [0.000, 10.284, 0.000], [-0.031, 0.000, 9.195]], "species": ["V", "V", "V", "V", "P", "P", "P", "P", "P", "P", "P", "P", "P", "P", "P", "P", "P", "P", "P", "P", "O", "O", "O", "O", "O", "O", "O", "O", "O", "O", "O", "O", "O", "O", "O", "O", "O", "O", "O", "O", "O", "O", "O", "O", "O", "O", "O", "O", "O", "O", "O", "O", "O", "O", "O", "O", "O", "O", "O", "O", "O", "O", "O", "O", "O", "O", "O", "O"], "frac_coords": [[0.247, 0.220, 0.487], [0.247, 0.280, 0.987], [0.753, 0.720, 0.013], [0.753, 0.780, 0.513], [0.051, 0.101, 0.233], [0.051, 0.399, 0.733], [0.253, 0.016, 0.760], [0.253, 0.484, 0.260], [0.265, 0.628, 0.712], [0.265, 0.872, 0.212], [0.438, 0.109, 0.201], [0.438, 0.391, 0.701], [0.562, 0.609, 0.299], [0.562, 0.891, 0.799], [0.735, 0.128, 0.788], [0.735, 0.372, 0.288], [0.747, 0.516, 0.740], [0.747, 0.984, 0.240], [0.949, 0.601, 0.267], [0.949, 0.899, 0.767], [0.077, 0.158, 0.384], [0.077, 0.342, 0.884], [0.103, 0.542, 0.721], [0.103, 0.958, 0.221], [0.112, 0.189, 0.115], [0.112, 0.311, 0.615], [0.124, 0.586, 0.295], [0.124, 0.914, 0.795], [0.233, 0.729, 0.603], [0.233, 0.771, 0.103], [0.241, 0.065, 0.606], [0.241, 0.435, 0.106], [0.255, 0.122, 0.872], [0.255, 0.378, 0.372], [0.329, 0.639, 0.859], [0.329, 0.861, 0.359], [0.368, 0.513, 0.626], [0.368, 0.987, 0.126], [0.376, 0.138, 0.351], [0.376, 0.362, 0.851], [0.390, 0.578, 0.282], [0.390, 0.922, 0.782], [0.416, 0.220, 0.094], [0.416, 0.280, 0.594], [0.584, 0.720, 0.406], [0.584, 0.780, 0.906], [0.610, 0.078, 0.218], [0.610, 0.422, 0.718], [0.624, 0.638, 0.149], [0.624, 0.862, 0.649], [0.632, 0.013, 0.874], [0.632, 0.487, 0.374], [0.671, 0.139, 0.641], [0.671, 0.361, 0.141], [0.745, 0.622, 0.628], [0.745, 0.878, 0.128], [0.759, 0.565, 0.894], [0.759, 0.935, 0.394], [0.767, 0.229, 0.897], [0.767, 0.271, 0.397], [0.876, 0.086, 0.205], [0.876, 0.414, 0.705], [0.888, 0.689, 0.385], [0.888, 0.811, 0.885], [0.897, 0.042, 0.779], [0.897, 0.458, 0.279], [0.923, 0.658, 0.116], [0.923, 0.842, 0.616]]}



{"formula": "CsIBrN2", "functional": "PBEsol", "state": "relaxed", "vol_a3_per_cell": 180.1, "raw_formation_energy_ev_per_atom": 1.966, "magmom_total_mub_per_fu": 4.14, "n_ef_per_ev_fu": 4.00, "dft_energy_ev_per_cell": -11.803, "cell": [[4.897, 0.000, 0.000], [0.000, 4.897, 0.000], [0.000, 0.000, 7.511]], "species": ["Cs", "I", "Br", "N", "N"], "frac_coords": [[0.000, 0.000, 0.000], [0.000, 0.000, 0.500], [0.500, 0.500, 0.500], [0.000, 0.500, 0.000], [0.500, 0.000, 0.000]]}



{"formula": "Al3BOs", "functional": "PBEsol", "state": "relaxed", "ef_ev_per_atom": 0.4377, "vol_a3_per_cell": 66.9, "magmom_total_mub_per_fu": 0.00, "n_ef_per_ev_fu": 1.71, "dft_energy_ev_per_cell": -29.319, "cell": [[4.059, 0.000, 0.000], [0.000, 4.059, 0.000], [0.000, 0.000, 4.059]], "species": ["Al", "Al", "Al", "B", "Os"], "frac_coords": [[0.000, 0.000, 0.500], [0.000, 0.500, 0.000], [0.500, 0.000, 0.000], [0.000, 0.000, 0.000], [0.500, 0.500, 0.500]]}



{"formula": "BeTlNi2", "functional": "PBEsol", "state": "relaxed", "ef_ev_per_atom": 0.1580, "vol_a3_per_cell": 51.6, "magmom_total_mub_per_fu": 0.00, "n_ef_per_ev_fu": 2.53, "dft_energy_ev_per_cell": -18.313, "cell": [[2.953, 0.000, 0.000], [0.000, 2.953, 0.000], [0.000, 0.000, 5.922]], "species": ["Be", "Tl", "Ni", "Ni"], "frac_coords": [[0.000, 0.000, 0.000], [0.500, 0.500, 0.655], [0.000, 0.000, 0.366], [0.500, 0.500, 0.124]]}



{"formula": "Ba3NbW", "functional": "PBEsol", "state": "relaxed", "ef_ev_per_atom": 1.7397, "vol_a3_per_cell": 200.7, "magmom_total_mub_per_fu": 4.91, "n_ef_per_ev_fu": 6.51, "dft_energy_ev_per_cell": -22.377, "cell": [[5.855, 0.000, 0.000], [0.000, 5.855, 0.000], [0.000, 0.000, 5.855]], "species": ["Ba", "Ba", "Ba", "Nb", "W"], "frac_coords": [[0.000, 0.000, 0.500], [0.000, 0.500, 0.000], [0.500, 0.000, 0.000], [0.500, 0.500, 0.500], [0.000, 0.000, 0.000]]}



{"formula": "Li2NdAl", "functional": "PBEsol", "state": "relaxed", "ef_ev_per_atom": -0.1788, "vol_a3_per_cell": 78.2, "magmom_total_mub_per_fu": 0.00, "n_ef_per_ev_fu": 1.07, "dft_energy_ev_per_cell": -13.907, "cell": [[0.000, 3.395, 3.395], [3.395, 0.000, 3.395], [3.395, 3.395, 0.000]], "species": ["Li", "Li", "Nd", "Al"], "frac_coords": [[0.250, 0.250, 0.250], [0.750, 0.750, 0.750], [0.000, 0.000, 0.000], [0.500, 0.500, 0.500]]}



{"formula": "Li2Cu3F11", "functional": "PBEsol", "state": "relaxed", "vol_a3_per_cell": 379.5, "raw_formation_energy_ev_per_atom": -1.712, "magmom_total_mub_per_fu": 2.57, "n_ef_per_ev_fu": 5.38, "dft_energy_ev_per_cell": -131.063, "cell": [[5.942, 0.000, 0.000], [0.000, 7.171, 0.000], [-1.263, 0.000, 8.907]], "species": ["Li", "Li", "Li", "Li", "Cu", "Cu", "Cu", "Cu", "Cu", "Cu", "F", "F", "F", "F", "F", "F", "F", "F", "F", "F", "F", "F", "F", "F", "F", "F", "F", "F", "F", "F", "F", "F"], "frac_coords": [[0.160, 0.250, 0.214], [0.161, 0.750, 0.267], [0.839, 0.250, 0.733], [0.840, 0.750, 0.786], [0.324, 0.003, 0.867], [0.324, 0.497, 0.867], [0.500, 0.000, 0.500], [0.500, 0.500, 0.500], [0.676, 0.503, 0.133], [0.676, 0.997, 0.133], [0.022, 0.061, 0.837], [0.022, 0.439, 0.837], [0.217, 0.750, 0.889], [0.246, 0.056, 0.374], [0.246, 0.444, 0.374], [0.327, 0.538, 0.660], [0.327, 0.962, 0.660], [0.361, 0.060, 0.082], [0.361, 0.440, 0.082], [0.430, 0.250, 0.837], [0.434, 0.750, 0.439], [0.566, 0.250, 0.561], [0.570, 0.750, 0.163], [0.639, 0.560, 0.918], [0.639, 0.940, 0.918], [0.673, 0.038, 0.340], [0.673, 0.462, 0.340], [0.754, 0.556, 0.626], [0.754, 0.944, 0.626], [0.783, 0.250, 0.111], [0.978, 0.561, 0.163], [0.978, 0.939, 0.163]]}



{"formula": "Re3GeH", "functional": "PBEsol", "state": "relaxed", "vol_a3_per_cell": 91.2, "magmom_total_mub_per_fu": 0.00, "n_ef_per_ev_fu": 6.49, "dft_energy_ev_per_cell": -34.238, "cell": [[4.502, 0.000, 0.000], [0.000, 4.502, 0.000], [0.000, 0.000, 4.502]], "species": ["Re", "Re", "Re", "Ge", "H"], "frac_coords": [[0.000, 0.000, 0.500], [0.000, 0.500, 0.000], [0.500, 0.000, 0.000], [0.000, 0.000, 0.000], [0.500, 0.500, 0.500]]}



{"formula": "AlVMoO7", "functional": "PBEsol", "state": "relaxed", "vol_a3_per_cell": 561.0, "raw_formation_energy_ev_per_atom": -2.365, "magmom_total_mub_per_fu": 0.00, "n_ef_per_ev_fu": 0.00, "dft_energy_ev_per_cell": -343.569, "cell": [[12.789, 0.000, 0.000], [0.000, 5.368, 0.000], [0.000, 0.000, 8.172]], "species": ["Al", "Al", "Al", "Al", "V", "V", "V", "V", "Mo", "Mo", "Mo", "Mo", "O", "O", "O", "O", "O", "O", "O", "O", "O", "O", "O", "O", "O", "O", "O", "O", "O", "O", "O", "O", "O", "O", "O", "O", "O", "O", "O", "O"], "frac_coords": [[0.112, 0.250, 0.234], [0.388, 0.750, 0.734], [0.612, 0.250, 0.266], [0.888, 0.750, 0.766], [0.013, 0.250, 0.569], [0.487, 0.750, 0.069], [0.513, 0.250, 0.931], [0.987, 0.750, 0.431], [0.144, 0.750, 0.953], [0.356, 0.250, 0.453], [0.644, 0.750, 0.547], [0.856, 0.250, 0.047], [0.027, 0.750, 0.842], [0.070, 0.021, 0.403], [0.070, 0.479, 0.403], [0.092, 0.250, 0.719], [0.148, 0.008, 0.084], [0.148, 0.492, 0.084], [0.247, 0.250, 0.322], [0.253, 0.750, 0.822], [0.352, 0.508, 0.584], [0.352, 0.992, 0.584], [0.408, 0.750, 0.219], [0.430, 0.521, 0.903], [0.430, 0.979, 0.903], [0.473, 0.250, 0.342], [0.527, 0.750, 0.658], [0.570, 0.021, 0.097], [0.570, 0.479, 0.097], [0.592, 0.250, 0.781], [0.648, 0.008, 0.416], [0.648, 0.492, 0.416], [0.747, 0.250, 0.178], [0.753, 0.750, 0.678], [0.852, 0.508, 0.916], [0.852, 0.992, 0.916], [0.908, 0.750, 0.281], [0.930, 0.521, 0.597], [0.930, 0.979, 0.597], [0.973, 0.250, 0.158]]}



{"formula": "BeNi2Rh", "functional": "PBEsol", "state": "relaxed", "ef_ev_per_atom": -0.1419, "vol_a3_per_cell": 42.3, "magmom_total_mub_per_fu": 0.64, "n_ef_per_ev_fu": 5.86, "dft_energy_ev_per_cell": -25.021, "cell": [[-1.336, 2.017, 3.928], [1.336, -2.017, 3.928], [1.336, 2.017, -3.928]], "species": ["Be", "Ni", "Ni", "Rh"], "frac_coords": [[0.000, 0.000, 0.000], [0.217, 0.717, 0.500], [0.488, 0.488, 0.000], [0.766, 0.266, 0.500]]}



{"formula": "CaHgBr", "functional": "PBEsol", "state": "relaxed", "vol_a3_per_cell": 93.1, "raw_formation_energy_ev_per_atom": -0.776, "magmom_total_mub_per_fu": 0.00, "polymorph_energy_mev_per_atom": 0, "n_ef_per_ev_fu": 1.76, "dft_energy_ev_per_cell": -6.897, "cell": [[0.000, 3.597, 3.597], [3.597, 0.000, 3.597], [3.597, 3.597, 0.000]], "species": ["Ca", "Hg", "Br"], "frac_coords": [[0.000, 0.000, 0.000], [0.250, 0.250, 0.250], [0.750, 0.750, 0.750]]}



{"formula": "CrRu3", "functional": "PBEsol", "state": "relaxed", "ef_ev_per_atom": 0.0756, "vol_a3_per_cell": 308.6, "magmom_total_mub_per_fu": 0.00, "n_ef_per_ev_fu": 4.04, "dft_energy_ev_per_cell": -242.741, "cell": [[5.286, 0.000, 0.000], [0.000, 12.743, 0.000], [0.000, 0.000, 4.581]], "species": ["Cr", "Cr", "Cr", "Cr", "Cr", "Cr", "Ru", "Ru", "Ru", "Ru", "Ru", "Ru", "Ru", "Ru", "Ru", "Ru", "Ru", "Ru", "Ru", "Ru", "Ru", "Ru", "Ru", "Ru"], "frac_coords": [[0.250, 0.089, 0.159], [0.250, 0.411, 0.159], [0.250, 0.750, 0.505], [0.750, 0.250, 0.495], [0.750, 0.589, 0.841], [0.750, 0.911, 0.841], [0.000, 0.250, 0.004], [0.000, 0.750, 0.996], [0.002, 0.586, 0.336], [0.002, 0.914, 0.336], [0.250, 0.250, 0.495], [0.250, 0.584, 0.837], [0.250, 0.916, 0.837], [0.498, 0.586, 0.336], [0.498, 0.914, 0.336], [0.500, 0.250, 0.004], [0.500, 0.750, 0.996], [0.502, 0.086, 0.664], [0.502, 0.414, 0.664], [0.750, 0.084, 0.163], [0.750, 0.416, 0.163], [0.750, 0.750, 0.505], [0.998, 0.086, 0.664], [0.998, 0.414, 0.664]]}



{"formula": "As2RuSe", "functional": "PBEsol", "state": "relaxed", "vol_a3_per_cell": 69.0, "raw_formation_energy_ev_per_atom": 0.184, "magmom_total_mub_per_fu": 0.00, "n_ef_per_ev_fu": 3.15, "dft_energy_ev_per_cell": -23.499, "cell": [[-2.585, 2.585, 2.580], [2.585, -2.585, 2.580], [2.585, 2.585, -2.580]], "species": ["As", "As", "Ru", "Se"], "frac_coords": [[0.000, 0.500, 0.500], [0.500, 0.000, 0.500], [0.000, 0.000, 0.000], [0.500, 0.500, 0.000]]}



{"formula": "CuRuCl2", "functional": "PBEsol", "state": "relaxed", "vol_a3_per_cell": 64.0, "raw_formation_energy_ev_per_atom": 0.258, "magmom_total_mub_per_fu": 0.03, "polymorph_energy_mev_per_atom": 18, "n_ef_per_ev_fu": 3.54, "dft_energy_ev_per_cell": -17.491, "cell": [[2.965, 0.000, 0.000], [0.000, 2.965, 0.000], [0.000, 0.000, 7.277]], "species": ["Cu", "Ru", "Cl", "Cl"], "frac_coords": [[0.000, 0.000, 0.000], [0.500, 0.500, 0.239], [0.000, 0.000, 0.413], [0.500, 0.500, 0.813]]}



{"formula": "LaZrIr2", "functional": "PBEsol", "state": "relaxed", "ef_ev_per_atom": -0.3282, "vol_a3_per_cell": 77.2, "magmom_total_mub_per_fu": 0.00, "n_ef_per_ev_fu": 2.83, "dft_energy_ev_per_cell": -35.396, "cell": [[-2.011, 2.011, 4.777], [2.011, -2.011, 4.777], [2.011, 2.011, -4.777]], "species": ["La", "Zr", "Ir", "Ir"], "frac_coords": [[0.000, 0.000, 0.000], [0.750, 0.250, 0.500], [0.250, 0.750, 0.500], [0.500, 0.500, 0.000]]}



{"formula": "TaCrW2", "functional": "PBEsol", "state": "relaxed", "ef_ev_per_atom": -0.0019, "vol_a3_per_cell": 60.4, "magmom_total_mub_per_fu": 0.00, "polymorph_energy_mev_per_atom": 20, "n_ef_per_ev_fu": 1.96, "dft_energy_ev_per_cell": -50.416, "cell": [[3.125, 0.000, 0.000], [0.000, 4.379, 0.000], [0.000, 0.000, 4.413]], "species": ["Ta", "Cr", "W", "W"], "frac_coords": [[0.000, 0.000, 0.000], [0.500, 0.500, 0.000], [0.000, 0.500, 0.500], [0.500, 0.000, 0.500]]}



{"formula": "MgCo2O4", "functional": "PBEsol", "state": "relaxed", "vol_a3_per_cell": 235.6, "raw_formation_energy_ev_per_atom": -1.519, "magmom_total_mub_per_fu": 0.00, "polymorph_energy_mev_per_atom": 37, "dft_energy_ev_per_cell": -195.275, "cell": [[8.526, 0.000, 0.000], [0.000, 2.802, 0.000], [0.000, 0.000, 9.861]], "species": ["Mg", "Mg", "Mg", "Mg", "Co", "Co", "Co", "Co", "Co", "Co", "Co", "Co", "O", "O", "O", "O", "O", "O", "O", "O", "O", "O", "O", "O", "O", "O", "O", "O"], "frac_coords": [[0.239, 0.250, 0.162], [0.261, 0.750, 0.662], [0.739, 0.250, 0.338], [0.761, 0.750, 0.838], [0.051, 0.250, 0.382], [0.093, 0.250, 0.903], [0.407, 0.750, 0.403], [0.449, 0.750, 0.882], [0.551, 0.250, 0.118], [0.593, 0.250, 0.597], [0.907, 0.750, 0.097], [0.949, 0.750, 0.618], [0.056, 0.750, 0.784], [0.091, 0.250, 0.570], [0.117, 0.750, 0.038], [0.193, 0.750, 0.330], [0.307, 0.250, 0.830], [0.383, 0.250, 0.538], [0.409, 0.750, 0.070], [0.444, 0.250, 0.284], [0.556, 0.750, 0.716], [0.591, 0.250, 0.930], [0.617, 0.750, 0.462], [0.693, 0.750, 0.170], [0.807, 0.250, 0.670], [0.883, 0.250, 0.962], [0.909, 0.750, 0.430], [0.944, 0.250, 0.216]]}



{"formula": "HfSnPbF2", "functional": "PBEsol", "state": "relaxed", "vol_a3_per_cell": 104.6, "raw_formation_energy_ev_per_atom": -1.522, "magmom_total_mub_per_fu": 0.31, "n_ef_per_ev_fu": 3.85, "dft_energy_ev_per_cell": -30.226, "cell": [[4.185, 0.000, 0.000], [0.000, 4.185, 0.000], [0.000, 0.000, 5.970]], "species": ["Hf", "Sn", "Pb", "F", "F"], "frac_coords": [[0.000, 0.000, 0.000], [0.500, 0.500, 0.500], [0.000, 0.000, 0.500], [0.000, 0.500, 0.000], [0.500, 0.000, 0.000]]}